{
  "formula": "UTiSe3",
  "functional": "PBE",
  "state": "optimized geometry",
  "sg": "Cmc2_1 (36)",
  "e_tot_ev_per_atom": -6.97,
  "formation_energy_uncorrected_mev_per_atom": -1041,
  "lattice": [[3.874, 0.000, 0.000], [0.000, 6.709, 0.000], [-1.937, 0.000, 9.995]],
  "species": ["Se", "Se", "Se", "Se", "Ti", "Ti", "U", "U", "Se", "Se"],
  "frac_coords": [[0.749, 0.660, 0.497], [0.087, 0.794, 0.175], [0.913, 0.294, 0.825], [0.251, 0.160, 0.503], [0.169, 0.490, 0.339], [0.831, 0.990, 0.661], [0.661, 0.993, 0.322], [0.339, 0.493, 0.678], [0.596, 0.356, 0.193], [0.404, 0.856, 0.807]]
}

{
  "formula": "U2Ti2Se5",
  "functional": "PBE",
  "state": "optimized geometry",
  "sg": "C2/m (12)",
  "e_tot_ev_per_atom": -7.14,
  "formation_energy_uncorrected_mev_per_atom": -944,
  "lattice": [[4.873, 0.000, 0.000], [-2.437, 6.570, -1.233], [0.000, -2.034, 6.885]],
  "species": ["Se", "Se", "Se", "U", "Se", "Se", "U", "Ti", "Ti"],
  "frac_coords": [[0.147, 0.294, 0.528], [0.378, 0.755, 0.151], [0.000, 0.000, 0.000], [0.614, 0.228, 0.261], [0.622, 0.245, 0.849], [0.853, 0.706, 0.472], [0.386, 0.772, 0.739], [0.171, 0.343, 0.904], [0.829, 0.657, 0.096]]
}

{
  "formula": "U2TiSe5",
  "functional": "PBE",
  "state": "optimized geometry",
  "sg": "Cmcm (63)",
  "e_tot_ev_per_atom": -7.03,
  "formation_energy_uncorrected_mev_per_atom": -1042,
  "lattice": [[5.582, 0.000, 0.000], [-2.791, 6.406, 0.000], [0.000, 0.000, 12.801]],
  "species": ["Se", "Ti", "U", "Se", "Se", "Se", "Se", "U", "U", "Se", "U", "Se", "Se", "Ti", "Se", "Se"],
  "frac_coords": [[0.278, 0.557, 0.750], [0.791, 0.581, 0.750], [0.845, 0.690, 0.064], [0.949, 0.897, 0.874], [0.949, 0.897, 0.626], [0.722, 0.443, 0.250], [0.051, 0.103, 0.374], [0.155, 0.310, 0.936], [0.845, 0.690, 0.436], [0.051, 0.103, 0.126], [0.155, 0.310, 0.564], [0.666, 0.332, 0.919], [0.666, 0.332, 0.581], [0.209, 0.419, 0.250], [0.334, 0.668, 0.419], [0.334, 0.668, 0.081]]
}

{
  "formula": "UTi2Se6",
  "functional": "PBE",
  "state": "optimized geometry",
  "sg": "C2/m (12)",
  "relative_energy_mev_per_atom": 0,
  "e_tot_ev_per_atom": -6.43,
  "formation_energy_uncorrected_mev_per_atom": -1096,
  "lattice": [[-2.723, 1.054, 2.327], [-5.505, -1.615, -5.711], [2.730, -7.566, 3.627]],
  "species": ["Se", "Se", "Se", "Se", "Se", "Ti", "Se", "Ti", "U"],
  "frac_coords": [[0.012, 0.260, 0.024], [0.988, 0.740, 0.976], [0.669, 0.118, 0.338], [0.672, 0.571, 0.344], [0.328, 0.429, 0.656], [0.174, 0.350, 0.348], [0.331, 0.882, 0.662], [0.826, 0.650, 0.652], [0.500, 0.000, 0.000]]
}

{
  "formula": "UTi2Se6",
  "functional": "PBE",
  "state": "optimized geometry",
  "sg": "C2/m (12)",
  "relative_energy_mev_per_atom": 123,
  "e_tot_ev_per_atom": -6.30,
  "formation_energy_uncorrected_mev_per_atom": -973,
  "lattice": [[5.009, 0.000, 0.000], [2.504, 6.261, -0.391], [2.504, 2.108, 6.983]],
  "species": ["Se", "Se", "Se", "Se", "U", "Ti", "Se", "Se", "Ti"],
  "frac_coords": [[0.966, 0.867, 0.202], [0.271, 0.315, 0.143], [0.360, 0.712, 0.568], [0.729, 0.685, 0.857], [0.000, 0.500, 0.500], [0.190, 0.696, 0.923], [0.640, 0.288, 0.432], [0.034, 0.133, 0.798], [0.810, 0.304, 0.077]]
}

{
  "formula": "U6TiSe12",
  "functional": "PBE",
  "state": "optimized geometry",
  "sg": "R-3 (148)",
  "e_tot_ev_per_atom": -7.21,
  "formation_energy_uncorrected_mev_per_atom": -1034,
  "lattice": [[8.170, 0.206, -0.314], [-0.334, 8.166, -0.314], [0.192, 0.206, 8.174]],
  "species": ["U", "Se", "Ti", "Se", "U", "Se", "Se", "Se", "U", "Se", "Se", "U", "Se", "Se", "Se", "U", "U", "Se", "Se"],
  "frac_coords": [[0.419, 0.918, 0.745], [0.085, 0.304, 0.931], [0.000, 0.000, 0.000], [0.543, 0.415, 0.194], [0.745, 0.419, 0.918], [0.457, 0.585, 0.806], [0.931, 0.085, 0.304], [0.915, 0.696, 0.069], [0.581, 0.082, 0.255], [0.069, 0.915, 0.696], [0.415, 0.194, 0.543], [0.255, 0.581, 0.082], [0.194, 0.543, 0.415], [0.585, 0.806, 0.457], [0.304, 0.931, 0.085], [0.082, 0.255, 0.581], [0.918, 0.745, 0.419], [0.696, 0.069, 0.915], [0.806, 0.457, 0.585]]
}

{
  "formula": "TiVSe6",
  "functional": "PBE",
  "state": "optimized geometry",
  "sg": "P-1 (2)",
  "e_tot_ev_per_atom": -5.24,
  "formation_energy_uncorrected_mev_per_atom": -495,
  "lattice": [[6.356, 0.002, 0.560], [3.174, 5.426, 0.597], [3.638, 2.095, 5.944]],
  "species": ["Se", "Se", "Ti", "V", "Se", "Se", "Se", "Se"],
  "frac_coords": [[0.358, 0.852, 0.643], [0.950, 0.542, 0.254], [0.000, 0.000, 0.000], [0.500, 0.500, 0.500], [0.354, 0.857, 0.150], [0.050, 0.458, 0.746], [0.646, 0.143, 0.850], [0.642, 0.148, 0.357]]
}

{
  "formula": "TiV2Se6",
  "functional": "PBE",
  "state": "optimized geometry",
  "sg": "C2/m (12)",
  "relative_energy_mev_per_atom": 0,
  "e_tot_ev_per_atom": -6.06,
  "formation_energy_uncorrected_mev_per_atom": -831,
  "lattice": [[3.323, 0.000, -0.761], [-0.589, 7.530, -2.569], [0.231, -0.812, 8.638]],
  "species": ["Se", "Se", "Se", "V", "Se", "Ti", "Se", "Se", "V"],
  "frac_coords": [[0.336, 0.897, 0.672], [0.330, 0.429, 0.659], [0.670, 0.571, 0.341], [0.173, 0.343, 0.345], [0.664, 0.103, 0.328], [0.500, 0.000, 0.000], [0.008, 0.242, 0.016], [0.992, 0.758, 0.984], [0.827, 0.657, 0.655]]
}

{
  "formula": "TiV3Se",
  "functional": "PBE",
  "state": "optimized geometry",
  "sg": "Pm-3m (221)",
  "relative_energy_mev_per_atom": 0,
  "e_tot_ev_per_atom": -7.21,
  "formation_energy_uncorrected_mev_per_atom": 541,
  "lattice": [[-1.440, -3.659, 2.129], [-1.656, -1.583, -3.841], [3.896, -2.025, -0.845]],
  "species": ["V", "V", "V", "Se", "Ti"],
  "frac_coords": [[0.000, 0.500, 0.000], [0.500, 0.000, 0.000], [0.000, 0.000, 0.500], [0.000, 0.000, 0.000], [0.500, 0.500, 0.500]]
}

{
  "formula": "TiV2Se4",
  "functional": "PBE",
  "state": "optimized geometry",
  "sg": "Cc (9)",
  "relative_energy_mev_per_atom": 45,
  "e_tot_ev_per_atom": -6.54,
  "formation_energy_uncorrected_mev_per_atom": -818,
  "lattice": [[6.731, 0.028, -1.751], [-3.835, 5.532, -1.751], [-0.097, -0.187, 7.202]],
  "species": ["V", "Se", "Se", "V", "Se", "Se", "Ti", "Se", "V", "V", "Se", "Se", "Ti", "Se"],
  "frac_coords": [[0.026, 0.781, 0.510], [0.806, 0.296, 0.835], [0.303, 0.777, 0.833], [0.781, 0.026, 0.010], [0.711, 0.703, 0.663], [0.175, 0.216, 0.660], [0.242, 0.493, 0.461], [0.703, 0.711, 0.163], [0.242, 0.490, 0.041], [0.490, 0.242, 0.541], [0.777, 0.303, 0.333], [0.216, 0.175, 0.160], [0.493, 0.242, 0.961], [0.296, 0.806, 0.335]]
}

{
  "formula": "Ti2VSe6",
  "functional": "PBE",
  "state": "optimized geometry",
  "sg": "C2/m (12)",
  "relative_energy_mev_per_atom": 0,
  "e_tot_ev_per_atom": -6.05,
  "formation_energy_uncorrected_mev_per_atom": -961,
  "lattice": [[-1.483, 1.771, 2.593], [0.443, -6.417, 4.636], [7.628, 4.168, -0.809]],
  "species": ["Ti", "Se", "Se", "Se", "Se", "Se", "Ti", "V", "Se"],
  "frac_coords": [[0.835, 0.671, 0.671], [0.341, 0.910, 0.681], [0.328, 0.428, 0.656], [0.996, 0.766, 0.992], [0.672, 0.572, 0.344], [0.659, 0.090, 0.319], [0.165, 0.329, 0.329], [0.500, 0.000, 0.000], [0.004, 0.234, 0.008]]
}

{
  "formula": "TiVSe2",
  "functional": "PBE",
  "state": "optimized geometry",
  "sg": "Fm-3m (225)",
  "relative_energy_mev_per_atom": 117,
  "e_tot_ev_per_atom": -6.52,
  "formation_energy_uncorrected_mev_per_atom": -521,
  "lattice": [[-4.117, -1.241, -1.332], [-3.633, 1.661, 2.074], [-2.659, 2.942, -2.129]],
  "species": ["Se", "Ti", "Se", "V"],
  "frac_coords": [[0.250, 0.250, 0.250], [0.000, 0.000, 0.000], [0.750, 0.750, 0.750], [0.500, 0.500, 0.500]]
}

Copy entry 8 word for word.
{
  "formula": "TiV2Se6",
  "functional": "PBE",
  "state": "optimized geometry",
  "sg": "C2/m (12)",
  "relative_energy_mev_per_atom": 0,
  "e_tot_ev_per_atom": -6.06,
  "formation_energy_uncorrected_mev_per_atom": -831,
  "lattice": [[3.323, 0.000, -0.761], [-0.589, 7.530, -2.569], [0.231, -0.812, 8.638]],
  "species": ["Se", "Se", "Se", "V", "Se", "Ti", "Se", "Se", "V"],
  "frac_coords": [[0.336, 0.897, 0.672], [0.330, 0.429, 0.659], [0.670, 0.571, 0.341], [0.173, 0.343, 0.345], [0.664, 0.103, 0.328], [0.500, 0.000, 0.000], [0.008, 0.242, 0.016], [0.992, 0.758, 0.984], [0.827, 0.657, 0.655]]
}